1.
A plane-wave DFT calculation with PBE-GGA was carried out for Sr4AlBr after structural relaxation.

a = 7.2617 Å, b = 7.2617 Å, c = 7.2617 Å
α = 60.00°, β = 60.00°, γ = 60.00°
Last column: nearest neighbours and their distance in Å.
Fractional positions:
Sr1 0.1240 0.1240 0.1240  6 Sr 3.60-3.66
Sr2 0.1240 0.1240 0.6279  6 Sr 3.60-3.66
Sr3 0.1240 0.6279 0.1240  6 Sr 3.60-3.66
Sr4 0.6279 0.1240 0.1240  6 Sr 3.60-3.66
Al1 0.7500 0.7500 0.7500  12 Sr 4.25, 4 Br 4.45
Br1 0.5000 0.5000 0.5000  12 Sr 4.26, 4 Al 4.45

Computed properties:
For the uncorrected formation energy, the calculation gives 0.23 eV per atom.

---

2.
A plane-wave DFT calculation with PBE-GGA was carried out for LiHo2Pb3S6 after structural relaxation.

a = 9.1397 Å, b = 9.1397 Å, c = 8.8113 Å
α = 108.78°, β = 108.78°, γ = 24.96°
Last column: nearest neighbours and their distance in Å.
Fractional positions:
Li1 0.0000 0.0000 0.0000  2 S 2.55
Ho1 0.3418 0.3418 0.6670  6 S 2.69-2.81
Ho2 0.6582 0.6582 0.3330  6 S 2.69-2.81
Pb1 0.0000 0.0000 0.5000  6 S 2.98-2.99
Pb2 0.3309 0.3309 0.1387  4 S 2.83-3.17
Pb3 0.6691 0.6691 0.8613  4 S 2.83-3.17
S1 0.1508 0.1508 0.1198  1 Li 2.55, 2 Ho 2.70
S2 0.1752 0.1752 0.5613  3 Ho 2.76-2.81, 1 Pb 2.99
S3 0.4991 0.4991 0.2467  1 Ho 2.69, 3 Pb 2.83-2.98, 2 Li 2.94
S4 0.5009 0.5009 0.7533  1 Ho 2.69, 3 Pb 2.83-2.98, 2 Li 2.94
S5 0.8248 0.8248 0.4387  3 Ho 2.76-2.81, 1 Pb 2.99
S6 0.8492 0.8492 0.8802  1 Li 2.55, 2 Ho 2.70

Computed properties:
For the uncorrected formation energy, the calculation gives -1.16 eV per atom.

---

3.
A plane-wave DFT calculation with PBE-GGA was carried out for Th5PtAu2 after structural relaxation.

a = 8.6083 Å, b = 11.9850 Å, c = 4.4160 Å
α = 90.00°, β = 90.00°, γ = 90.00°
Last column: nearest neighbours and their distance in Å.
Fractional positions:
Th1 0.0000 0.0000 0.0000  4 Au 3.11
Th2 0.1464 0.2863 0.0000  1 Pt 2.85
Th3 0.1900 0.5797 0.5000  2 Pt 2.91, 1 Au 3.11
Th4 0.3100 0.0797 0.5000  2 Pt 2.91, 1 Au 3.11
Th5 0.3536 0.7863 0.0000  1 Pt 2.85
Th6 0.5000 0.5000 0.0000  4 Au 3.11
Th7 0.6464 0.2137 0.0000  1 Pt 2.85
Th8 0.6900 0.9203 0.5000  2 Pt 2.91, 1 Au 3.11
Th9 0.8100 0.4203 0.5000  2 Pt 2.91, 1 Au 3.11
Th10 0.8536 0.7137 0.0000  1 Pt 2.85
Pt1 0.0000 0.5000 0.0000  6 Th 2.85-2.91
Pt2 0.5000 0.0000 0.0000  6 Th 2.85-2.91
Au1 0.0818 0.8272 0.5000  7 Th 3.11-3.25
Au2 0.4182 0.3272 0.5000  7 Th 3.11-3.25
Au3 0.5818 0.6728 0.5000  7 Th 3.11-3.25
Au4 0.9182 0.1728 0.5000  7 Th 3.11-3.25

Computed properties:
Its formation energy is -0.53 eV/atom.